Ce5Tm: optimized geometry, GGA-PBE.

Output
The formation energy comes out at 0.068 eV per atom.

Lattice parameters (Å, degrees): 7.592 7.592 4.767 90.00 90.00 143.56
Positions (direct):
Ce 0.000 0.000 0.000
Ce 0.171 0.829 0.500
Ce 0.333 0.667 0.000
Ce 0.667 0.333 0.000
Ce 0.829 0.171 0.500
Tm 0.500 0.500 0.500

=====

BaPb5Se6: optimized geometry, GGA-PBE.

Output
The energy relative to the elements, uncorrected is -0.807 eV per atom.

Lattice parameters (Å, degrees): 7.707 7.707 7.694 99.61 99.61 119.84
Positions (direct):
Ba 0.000 0.000 0.000
Pb 0.167 0.833 0.500
Pb 0.335 0.665 0.000
Pb 0.500 0.500 0.500
Pb 0.665 0.335 0.000
Pb 0.833 0.167 0.500
Se 0.086 0.430 0.256
Se 0.261 0.261 0.748
Se 0.430 0.086 0.256
Se 0.570 0.914 0.744
Se 0.739 0.739 0.252
Se 0.914 0.570 0.744

=====

Sr2LiErS4: optimized geometry, GGA-PBE.

Output
The energy relative to the elements, uncorrected is -1.939 eV per atom.

Lattice parameters (Å, degrees): 7.024 4.091 7.028 90.00 108.75 90.00
Positions (direct):
Sr 0.000 0.000 0.000
Sr 0.500 0.500 0.000
Li 0.000 0.500 0.500
Er 0.500 0.000 0.500
S 0.252 0.000 0.728
S 0.262 0.500 0.277
S 0.738 0.500 0.723
S 0.748 0.000 0.272

=====

CsTa3Ge: optimized geometry, GGA-PBE.

Output
The formation energy comes out at 1.743 eV per atom. For the energy above the lowest structure with this stoichiometry, the calculation gives 0 meV per atom.

Lattice parameters (Å, degrees): 4.989 4.989 4.989 90.00 90.00 90.00
Positions (direct):
Cs 0.000 0.000 0.000
Ta 0.000 0.500 0.500
Ta 0.500 0.000 0.500
Ta 0.500 0.500 0.000
Ge 0.500 0.500 0.500

=====

YAlCd: optimized geometry, GGA-PBE.

Output
The formation energy comes out at -0.320 eV per atom.

Lattice parameters (Å, degrees): 8.204 8.204 8.204 149.58 149.58 43.56
Positions (direct):
Y 0.171 0.171 0.000
Y 0.829 0.829 0.000
Al 0.374 0.374 0.000
Al 0.626 0.626 0.000
Cd 0.000 0.500 0.500
Cd 0.500 0.000 0.500

=====

Electronic total energy / eV per atom: -5.6225 -4.2547 -5.2326 -6.4625 -4.0270